No. 1
Compound: TaPdRh2
Source: Alexandria
Functional: PBE
Structure: relaxed

As for the energy: -8.478 eV/atom. Its formation energy is -0.54 eV per atom.

It has space group P4/mmm (No. 123), with a = 3.9681 Å, b = 3.9681 Å, c = 3.8240 Å, α = 90.00°, β = 90.00° and γ = 90.00°. The inequivalent atoms are Ta at (0.0000, 0.0000, 0.0000), Pd at (0.5000, 0.5000, 0.0000) and Rh at (0.0000, 0.5000, 0.5000).

---

No. 2
Compound: Tb2Nd3Th4
Source: Alexandria
Functional: PBE
Structure: relaxed

As for the energy: -5.847 eV/atom. Its formation energy is 0.07 eV per atom.

It has space group P-1 (No. 2), with a = 6.2378 Å, b = 6.2489 Å, c = 9.5135 Å, α = 71.06°, β = 71.20° and γ = 60.10°. The inequivalent atoms are Tb at (0.2254, 0.0584, 0.3306), Nd at (0.0000, 0.5000, 0.0000), Nd at (0.4450, 0.6128, 0.6691), Th at (0.1025, 0.2742, 0.6688) and Th at (0.3289, 0.8372, 0.0004).

---

No. 3
Compound: Ac3MgAg2Ge6
Source: Alexandria
Functional: PBE
Structure: relaxed

As for the energy: -4.295 eV/atom. Its formation energy is -0.35 eV per atom.

It has space group P-3m1 (No. 164), with a = 6.3579 Å, b = 6.3579 Å, c = 8.7581 Å, α = 90.00°, β = 90.00° and γ = 120.00°. The inequivalent atoms are Ac at (0.0000, 0.0000, 0.0000), Ac at (0.3333, 0.6667, 0.6366), Mg at (0.0000, 0.0000, 0.5000), Ag at (0.3333, 0.6667, 0.0210) and Ge at (0.1968, 0.3937, 0.2912).

---

No. 4
Compound: PuGa4Pd
Source: Alexandria
Functional: PBE
Structure: relaxed

As for the energy: -5.457 eV/atom. Its formation energy is -0.18 eV per atom.

It has space group F-43m (No. 216), with a = 7.6508 Å, b = 7.6508 Å, c = 7.6508 Å, α = 90.00°, β = 90.00° and γ = 90.00°. The inequivalent atoms are Pu at (0.0000, 0.0000, 0.0000), Ga at (0.1252, 0.1252, 0.6252) and Pd at (0.2500, 0.2500, 0.2500).

---

No. 5
Compound: Ti3MoRh
Source: Alexandria
Functional: PBE
Structure: relaxed

As for the energy: -8.806 eV/atom. Its formation energy is -0.43 eV per atom.

It has space group Cmcm (No. 63), with a = 4.4313 Å, b = 15.8193 Å, c = 4.4491 Å, α = 90.00°, β = 90.00° and γ = 90.00°. The inequivalent atoms are Ti at (0.0000, 0.0558, 0.2500), Ti at (0.0000, 0.2496, 0.2500), Ti at (0.0000, 0.4420, 0.2500), Mo at (0.0000, 0.1492, 0.7500) and Rh at (0.0000, 0.3502, 0.7500).

---

No. 6
Compound: BaDyIn
Source: Alexandria
Functional: PBE
Structure: relaxed

As for the energy: -3.403 eV/atom. Its formation energy is -0.32 eV per atom.

It has space group P4/nmm (No. 129, origin choice 2), with a = 5.2455 Å, b = 5.2455 Å, c = 8.3549 Å, α = 90.00°, β = 90.00° and γ = 90.00°. The inequivalent atoms are Ba at (0.2500, 0.2500, 0.1424), Dy at (0.2500, 0.7500, 0.5000) and In at (0.2500, 0.2500, 0.7153).

---

No. 7
Compound: Ba2YZr
Source: Alexandria
Functional: PBE
Structure: relaxed

As for the energy: -3.880 eV/atom. Its formation energy is 0.83 eV per atom.

It has space group I-42d (No. 122), with a = 9.6221 Å, b = 9.6221 Å, c = 6.8878 Å, α = 90.00°, β = 90.00° and γ = 90.00°. The inequivalent atoms are Ba at (0.2317, 0.2500, 0.1250), Y at (0.0000, 0.0000, 0.5000) and Zr at (0.0000, 0.0000, 0.0000).

---

No. 8
Compound: PrSc2Tl
Source: Alexandria
Functional: PBE
Structure: relaxed

As for the energy: -4.974 eV/atom. Its formation energy is -0.02 eV per atom.

It has space group Fm-3m (No. 225), with a = 7.4389 Å, b = 7.4389 Å, c = 7.4389 Å, α = 90.00°, β = 90.00° and γ = 90.00°. The inequivalent atoms are Pr at (0.0000, 0.0000, 0.0000), Sc at (0.2500, 0.2500, 0.2500) and Tl at (0.0000, 0.0000, 0.5000).

---

No. 9
Compound: Rb6NpCl12
Source: Alexandria
Functional: PBE
Structure: relaxed

The raw formation energy comes out at -1648 meV/atom. As for the energy: -3.801 eV/atom.

It has space group R-3 (No. 148, hexagonal axes), with a = 13.8375 Å, b = 13.8375 Å, c = 15.6434 Å, α = 90.00°, β = 90.00° and γ = 120.00°. The inequivalent atoms are Rb at (0.0234, 0.7762, 0.1098), Np at (0.0000, 0.0000, 0.5000), Cl at (0.0207, 0.7827, 0.9029) and Cl at (0.0645, 0.8955, 0.4082).

---

No. 10
Compound: RbCdAsO2
Source: Alexandria
Functional: PBE
Structure: relaxed

The raw formation energy comes out at 55 meV/atom. As for the energy: -3.235 eV/atom.

It has space group P4/mmm (No. 123), with a = 4.2612 Å, b = 4.2612 Å, c = 6.1964 Å, α = 90.00°, β = 90.00° and γ = 90.00°. The inequivalent atoms are Rb at (0.0000, 0.0000, 0.0000), Cd at (0.5000, 0.5000, 0.0000), As at (0.0000, 0.0000, 0.5000) and O at (0.0000, 0.5000, 0.5000).

---

No. 11
Compound: LiLaSe2
Source: Alexandria
Functional: PBE
Structure: relaxed

The raw formation energy comes out at -1460 meV/atom. As for the energy: -4.913 eV/atom.

It has space group Cmmm (No. 65), with a = 4.6105 Å, b = 5.9084 Å, c = 7.3585 Å, α = 90.00°, β = 90.00° and γ = 90.00°. The inequivalent atoms are Li at (0.0000, 0.0000, 0.0000), La at (0.0000, 0.0000, 0.5000) and Se at (0.0000, 0.5000, 0.2477).

---

No. 12
Compound: CaY2Te
Source: Alexandria
Functional: PBE
Structure: relaxed

The raw formation energy comes out at -402 meV/atom. As for the energy: -4.920 eV/atom.

It has space group I4/mmm (No. 139), with a = 4.6981 Å, b = 4.6981 Å, c = 11.0264 Å, α = 90.00°, β = 90.00° and γ = 90.00°. The inequivalent atoms are Ca at (0.0000, 0.0000, 0.0000), Y at (0.0000, 0.5000, 0.2500) and Te at (0.0000, 0.0000, 0.5000).

---

No. 13
Compound: SrAl2Cu
Source: Alexandria
Functional: PBE
Structure: relaxed

As for the energy: -3.165 eV/atom. Its formation energy is 0.15 eV per atom.

It has space group Fm-3m (No. 225), with a = 6.8820 Å, b = 6.8820 Å, c = 6.8820 Å, α = 90.00°, β = 90.00° and γ = 90.00°. The inequivalent atoms are Sr at (0.0000, 0.0000, 0.0000), Al at (0.2500, 0.2500, 0.2500) and Cu at (0.0000, 0.0000, 0.5000).

---

No. 14
Compound: Ca2Th2Rh3
Source: Alexandria
Functional: PBE
Structure: relaxed

As for the energy: -6.492 eV/atom. Its formation energy is -0.65 eV per atom.

It has space group C2/m (No. 12), with a = 8.4736 Å, b = 4.9044 Å, c = 8.7749 Å, α = 90.00°, β = 109.04° and γ = 90.00°. The inequivalent atoms are Ca at (0.1299, 0.0000, 0.3895), Th at (0.1207, 0.5000, 0.8609), Rh at (0.0000, 0.0000, 0.0000) and Rh at (0.2384, 0.5000, 0.2174).

---

No. 15
Compound: Pm2Ti2Se2O5
Source: Alexandria
Functional: PBE
Structure: relaxed

The raw formation energy comes out at -2802 meV/atom. As for the energy: -7.988 eV/atom.

It has space group I4/mmm (No. 139), with a = 3.8870 Å, b = 3.8870 Å, c = 24.1868 Å, α = 90.00°, β = 90.00° and γ = 90.00°. The inequivalent atoms are Pm at (0.0000, 0.0000, 0.1579), Ti at (0.0000, 0.0000, 0.4251), Se at (0.0000, 0.0000, 0.2970), O at (0.0000, 0.0000, 0.5000) and O at (0.0000, 0.5000, 0.0929).

---

No. 16
Compound: K2PAu
Source: Alexandria
Functional: PBE
Structure: relaxed

As for the energy: -2.728 eV/atom. Its formation energy is -0.01 eV per atom.

It has space group Cmmm (No. 65), with a = 5.9978 Å, b = 9.5346 Å, c = 3.6880 Å, α = 90.00°, β = 90.00° and γ = 90.00°. The inequivalent atoms are K at (0.2500, 0.2500, 0.0000), P at (0.0000, 0.0000, 0.5000) and Au at (0.0000, 0.5000, 0.5000).

---

No. 17
Compound: YFeIr
Source: Alexandria
Functional: PBE
Structure: relaxed

As for the energy: -8.050 eV/atom. Its formation energy is -0.12 eV per atom.

It has space group Imm2 (No. 44), with a = 3.1342 Å, b = 3.4981 Å, c = 9.9762 Å, α = 90.00°, β = 90.00° and γ = 90.00°. The inequivalent atoms are Y at (0.0000, 0.0000, 0.0000), Fe at (0.0000, 0.0000, 0.6982) and Ir at (0.0000, 0.0000, 0.3150).

---

No. 18
Compound: MgMoOs4
Source: Alexandria
Functional: PBE
Structure: relaxed

As for the energy: -9.196 eV/atom. Its formation energy is 0.36 eV per atom.

It has space group F-43m (No. 216), with a = 7.2753 Å, b = 7.2753 Å, c = 7.2753 Å, α = 90.00°, β = 90.00° and γ = 90.00°. The inequivalent atoms are Mg at (0.0000, 0.0000, 0.0000), Mo at (0.2500, 0.2500, 0.7500) and Os at (0.1255, 0.1255, 0.3745).

---

No. 19
Compound: La2HgRu
Source: Alexandria
Functional: PBE
Structure: relaxed

As for the energy: -5.209 eV/atom. Its formation energy is -0.35 eV per atom.

It has space group P2/m (No. 10), with a = 3.5744 Å, b = 3.8468 Å, c = 7.8624 Å, α = 90.00°, β = 98.75° and γ = 90.00°. The inequivalent atoms are La at (0.0948, 0.0000, 0.2839), Hg at (0.5000, 0.5000, 0.0000) and Ru at (0.5000, 0.5000, 0.5000).

---

No. 20
Compound: TlMo2Ru
Source: Alexandria
Functional: PBE
Structure: relaxed

As for the energy: -7.729 eV/atom. Its formation energy is 0.60 eV per atom.

It has space group C2/m (No. 12), with a = 5.4432 Å, b = 8.4930 Å, c = 2.8974 Å, α = 90.00°, β = 90.14° and γ = 90.00°. The inequivalent atoms are Tl at (0.0000, 0.0000, 0.0000), Mo at (0.2500, 0.2500, 0.5000) and Ru at (0.0000, 0.5000, 0.0000).

---

No. 21
Compound: VGe2Mo
Source: Alexandria
Functional: PBE
Structure: relaxed

As for the energy: -7.237 eV/atom. Its formation energy is 0.06 eV per atom.

It has space group P4/mmm (No. 123), with a = 4.3616 Å, b = 4.3616 Å, c = 3.1273 Å, α = 90.00°, β = 90.00° and γ = 90.00°. The inequivalent atoms are V at (0.0000, 0.0000, 0.0000), Ge at (0.0000, 0.5000, 0.5000) and Mo at (0.5000, 0.5000, 0.0000).

---

No. 22
Compound: FeSiBi2
Source: Alexandria
Functional: PBE
Structure: relaxed

The raw formation energy comes out at 629 meV/atom. As for the energy: -4.783 eV/atom.

It has space group I-42d (No. 122), with a = 6.2743 Å, b = 6.2743 Å, c = 12.3949 Å, α = 90.00°, β = 90.00° and γ = 90.00°. The inequivalent atoms are Fe at (0.0000, 0.0000, 0.0000), Si at (0.0000, 0.0000, 0.5000) and Bi at (0.2354, 0.2500, 0.1250).

---

no.,V (Å³ per cell)
1,60.2
2,298.2
3,306.6
4,447.8
5,311.9
6,229.9
7,637.7
8,411.6
9,2594.0
10,112.5
11,200.5
12,243.4
13,325.9
14,344.7
15,365.4
16,210.9
17,109.4
18,385.1
19,106.8
20,133.9
21,59.5
22,487.9